Density functional theory data (PBE) for a relaxed structure of Ce2CdPb2.

a b c (Å): 4.355 8.268 8.268
angles (deg): 90.00 90.00 90.00
Last column: magnetic moment on the atom in μB.
Atoms (fractional coordinates):
1 Ce 0.000 0.116 0.616  0.65
2 Ce 0.000 0.884 0.384  0.65
3 Ce 0.000 0.384 0.116  0.65
4 Ce 0.000 0.616 0.884  0.65
5 Pb 0.500 0.317 0.817  0.00
6 Pb 0.500 0.183 0.317  0.00
7 Pb 0.500 0.683 0.183  0.00
8 Pb 0.500 0.817 0.683  0.00
9 Cd 0.000 0.000 0.000  0.01
10 Cd 0.000 0.500 0.500  0.01

Computed properties:
V (Å³/f.u.): 148.9
Magnetic moment (μB per formula unit): 1.48
Calculated total energy (eV/f.u.): -21.4
Formation enthalpy at 0 K (eV per atom): -0.2354
N(E_F) (states/eV per cell): 18.24
Density (Mg/m³): 9.0

---

Density functional theory data (PBE) for a relaxed structure of CrFeAs6.

a b c (Å): 5.596 5.463 5.463
angles (deg): 82.33 89.07 90.93
Last column: magnetic moment on the atom in μB.
Atoms (fractional coordinates):
1 As 0.245 0.670 0.970  -0.03
2 As 0.748 0.729 0.284  -0.01
3 As 0.755 0.970 0.670  -0.03
4 As 0.242 0.254 0.247  -0.02
5 As 0.252 0.284 0.729  -0.01
6 As 0.758 0.247 0.254  -0.02
7 Cr 0.500 0.011 0.011  0.76
8 Fe 0.000 0.002 0.002  0.22

Computed properties:
V (Å³/f.u.): 165.4
Magnetic moment (μB per formula unit): 0.84
Calculated total energy (eV/f.u.): -45.5
Formation enthalpy at 0 K (eV per atom): 0.0552
N(E_F) (states/eV per cell): 4.09
Density (Mg/m³): 5.6

---

Density functional theory data (PBE) for a relaxed structure of K2AcBe2Se4.

a b c (Å): 3.932 9.055 8.423
angles (deg): 118.14 103.50 90.00
Last column: magnetic moment on the atom in μB.
Atoms (fractional coordinates):
1 Se 0.784 0.871 0.567  0.01
2 Se 0.474 0.250 0.948  0.01
3 Se 0.216 0.129 0.433  0.01
4 Se 0.526 0.750 0.052  0.01
5 Be 0.671 0.962 0.341  0.01
6 Be 0.329 0.038 0.659  0.01
7 Ac 0.000 0.000 0.000  0.13
8 K 0.878 0.424 0.757  0.00
9 K 0.122 0.576 0.243  0.00

Computed properties:
V (Å³/f.u.): 255.0
Magnetic moment (μB per formula unit): 0.52
Calculated total energy (eV/f.u.): -37.3
ΔE_f (raw) (kcal/mol of atoms): -24.66
N(E_F) (states/eV per cell): 2.14
Density (Mg/m³): 4.2

---

Density functional theory data (PBE) for a relaxed structure of AcNdTaN3.

a b c (Å): 3.672 8.262 7.802
angles (deg): 98.23 90.00 90.00
Atoms (fractional coordinates):
1 Ta 0.750 0.894 0.397
2 Ta 0.250 0.106 0.603
3 Nd 0.750 0.389 0.825
4 Nd 0.250 0.611 0.175
5 N 0.750 0.896 0.153
6 N 0.750 0.155 0.502
7 N 0.250 0.104 0.847
8 N 0.250 0.608 0.874
9 N 0.250 0.845 0.498
10 N 0.750 0.392 0.126
11 Ac 0.750 0.820 0.826
12 Ac 0.250 0.180 0.174

Computed properties:
V (Å³/f.u.): 117.1
Magnetic moment (μB per formula unit): 0.15
Calculated total energy (eV/f.u.): -51.7
ΔE_f (raw) (kcal/mol of atoms): -22.94
N(E_F) (states/eV per cell): 3.98
Density (Mg/m³): 8.4

---

Density functional theory data (PBE) for a relaxed structure of NaHfIn.

a b c (Å): 13.542 5.350 5.350
angles (deg): 131.06 141.58 38.42
Atoms (fractional coordinates):
1 Na 0.069 0.271 0.729
2 Na 0.931 0.729 0.271
3 In 0.278 0.722 0.278
4 In 0.722 0.278 0.722
5 Hf 0.537 0.812 0.188
6 Hf 0.463 0.188 0.812

Computed properties:
V (Å³/f.u.): 74.4
Magnetic moment (μB per formula unit): 0.00
Calculated total energy (eV/f.u.): -13.6
Relative energy among the computed polymorphs (meV per atom): 236
Formation enthalpy at 0 K (eV per atom): 0.1445
N(E_F) (states/eV per cell): 2.39
Density (Mg/m³): 7.1

---

Density functional theory data (PBE) for a relaxed structure of TbEr3Rh8.

a b c (Å): 5.323 5.323 9.215
angles (deg): 73.21 73.21 60.00
Atoms (fractional coordinates):
1 Er 0.000 0.000 0.999
2 Er 0.375 0.375 0.876
3 Er 0.500 0.500 0.500
4 Rh 0.437 0.937 0.688
5 Rh 0.438 0.938 0.187
6 Rh 0.438 0.438 0.187
7 Rh 0.937 0.437 0.688
8 Rh 0.938 0.438 0.187
9 Rh 0.937 0.937 0.688
10 Rh 0.688 0.688 0.937
11 Rh 0.187 0.187 0.438
12 Tb 0.875 0.875 0.375

Computed properties:
V (Å³/f.u.): 213.2
Magnetic moment (μB per formula unit): 0.00
Calculated total energy (eV/f.u.): -86.2
Relative energy among the computed polymorphs (meV per atom): 0
Formation enthalpy at 0 K (eV per atom): -0.7580
N(E_F) (states/eV per cell): 7.18
Density (Mg/m³): 11.6